Entry 1:
Crystalline TmHfSc3 at its relaxed geometry. Source: Alexandria via LeMat-Bulk, functional GGA-PBE.

a = 5.7749 Å, b = 6.1562 Å, c = 7.7333 Å
α = 102.29°, β = 111.44°, γ = 90.12°
Closest atoms and distances in Å follow each position.
Fractional coordinates of all 10 atoms:
1 Tm 0.0184 0.4527 0.2121  3 Hf 3.20-3.33, 8 Sc 3.21-3.45, 1 Tm 3.38
2 Tm 0.9816 0.5473 0.7879  3 Hf 3.20-3.33, 8 Sc 3.21-3.45, 1 Tm 3.38
3 Hf 0.3971 0.3528 0.6019  1 Hf 3.12, 8 Sc 3.19-3.44, 3 Tm 3.20-3.33
4 Hf 0.6029 0.6472 0.3981  1 Hf 3.12, 8 Sc 3.19-3.44, 3 Tm 3.20-3.33
5 Sc 0.1915 0.9572 0.2045  7 Sc 3.17-3.43, 2 Hf 3.19-3.30, 3 Tm 3.21-3.45
6 Sc 0.2191 0.8555 0.5962  6 Sc 3.17-3.35, 4 Hf 3.21-3.44, 2 Tm 3.22-3.26
7 Sc 0.4217 0.2536 0.9965  7 Sc 3.15-3.43, 2 Hf 3.19-3.32, 3 Tm 3.26-3.42
8 Sc 0.5783 0.7464 0.0035  7 Sc 3.15-3.43, 2 Hf 3.19-3.32, 3 Tm 3.26-3.42
9 Sc 0.7809 0.1445 0.4038  6 Sc 3.17-3.35, 4 Hf 3.21-3.44, 2 Tm 3.22-3.26
10 Sc 0.8085 0.0428 0.7955  7 Sc 3.17-3.43, 2 Hf 3.19-3.30, 3 Tm 3.21-3.45

Computed properties:
ΔE to the lowest computed polymorph: 0 meV per atom
Raw total energy: -66.55 eV/cell
Energy relative to the elements: 0.0289 eV per atom

Entry 2:
Crystalline SiTcAg2 at its relaxed geometry. Source: Alexandria via LeMat-Bulk, functional GGA-PBE.

a = 3.7597 Å, b = 3.7597 Å, c = 4.4690 Å
α = 90.00°, β = 90.00°, γ = 90.00°
Closest atoms and distances in Å follow each position.
Fractional coordinates of all 4 atoms:
1 Si 0.0000 0.0000 0.0000  4 Tc 2.66, 8 Ag 2.92
2 Tc 0.5000 0.5000 0.0000  4 Si 2.66, 8 Ag 2.92
3 Ag 0.0000 0.5000 0.5000  4 Ag 2.66, 4 Tc 2.92, 4 Si 2.92
4 Ag 0.5000 0.0000 0.5000  4 Ag 2.66, 4 Tc 2.92, 4 Si 2.92

Computed properties:
Formation energy from raw total energies: 308 meV/atom
Raw total energy: -20.26 eV/cell

| no. | volume (Å³/cell) |
| --- | --- |
| 1 | 249 |
| 2 | 63 |